# 1
! LiEr2Cd6 | the Alexandria database | PBE | optimized geometry; values from VASP
&SYSTEM
  ibrav = 0, nat = 9, ntyp = 3
/
ATOMIC_SPECIES
Er 167.26 Er.upf
Cd 112.41 Cd.upf
Li 6.94 Li.upf
CELL_PARAMETERS angstrom
3.271 0.000 -0.333
0.000 8.602 0.000
-2.547 -4.301 7.739
ATOMIC_POSITIONS angstrom
Er 0.481 0.000 4.937
Er 0.242 4.301 2.469
Cd 1.635 5.765 -0.167
Cd -1.148 2.884 5.129
Cd 1.871 -1.417 2.277
Cd -1.148 5.718 5.129
Cd 1.871 1.417 2.277
Cd 1.635 2.837 -0.167
Li 0.000 0.000 0.000
! SG	C2/m (12)
! electronic total energy	-2.084	eV/atom
! density	8017	kg/m³
! Fermi-level density of states	0.572	states/eV per atom
! total magnetic moment	0.0	μB per formula unit
! crystal system	monoclinic

# 2
! La3Tb8Y3 | the Alexandria database | PBE | optimized geometry; values from VASP
&SYSTEM
  ibrav = 0, nat = 14, ntyp = 3
/
ATOMIC_SPECIES
Tb 158.93 Tb.upf
Y 88.91 Y.upf
La 138.91 La.upf
CELL_PARAMETERS angstrom
-4.244 -3.431 -1.741
3.307 -9.185 0.615
-6.857 0.163 6.973
ATOMIC_POSITIONS angstrom
Tb -6.945 -7.878 4.183
Tb -2.920 -2.670 2.960
Tb -6.245 -3.267 2.816
Tb -1.774 -7.380 0.019
Tb -4.874 -9.782 2.888
Tb -1.550 -9.185 3.032
Tb -0.850 -4.574 1.664
Tb -6.021 -5.073 5.828
Y -4.106 -4.560 0.141
Y -3.897 -6.226 2.924
Y -3.689 -7.892 5.707
La -4.975 -1.568 5.796
La 1.425 -7.453 1.793
La -2.122 -1.716 -0.870
! SG	Immm (71)
! electronic total energy	-4.985	eV/atom
! density	6840	kg/m³
! Fermi-level density of states	1.656	states/eV per atom
! total magnetic moment	0.0	μB per formula unit
! crystal system	orthorhombic